(1)
# Nd9Ga5S21 | the Alexandria database | GGA-PBEsol | optimized geometry
# Energy relative to the elements, uncorrected, eV/f.u.: -56.52
# DOS at the Fermi energy, states/eV per cell: 0.00
# Total magnetic moment, μB/f.u.: 0.0
# Calculated total energy, eV/atom: -6.051
data_Nd9Ga5S21
_cell_length_a 17.0557
_cell_length_b 17.0557
_cell_length_c 18.1165
_cell_angle_alpha 90.00
_cell_angle_beta 90.00
_cell_angle_gamma 120.00
_symmetry_space_group_name_H-M 'R 3'
_symmetry_Int_Tables_number 146
_symmetry_space_group_name_Hall 'R 3'
loop_
_atom_site_label
_atom_site_fract_x
_atom_site_fract_y
_atom_site_fract_z
_atom_site_occupancy
Nd1 0.0177 0.8223 0.0000 1
Nd2 0.0252 0.8234 0.3202 1
Nd3 0.0288 0.8279 0.6585 1
Nd4 0.1561 0.4662 0.4844 1
Nd5 0.1585 0.4671 0.8300 1
Nd6 0.1590 0.4668 0.1642 1
Ga1 0.0000 0.0000 0.2209 1
Ga2 0.0000 0.0000 0.4174 1
Ga3 0.0000 0.0000 0.7183 1
Ga4 0.0000 0.0000 0.9142 1
Ga5 0.0034 0.3299 0.0195 1
Ga6 0.0049 0.6681 0.5195 1
S1 0.0005 0.3318 0.8963 1
S2 0.0031 0.6682 0.3962 1
S3 0.0085 0.4613 0.4004 1
S4 0.0129 0.8911 0.8022 1
S5 0.0146 0.8845 0.4685 1
S6 0.0158 0.8838 0.1526 1
S7 0.0191 0.4676 0.7390 1
S8 0.0236 0.4618 0.0676 1
S9 0.1222 0.0142 0.3061 1
S10 0.1259 0.7840 0.9048 1
S11 0.1275 0.0100 0.9660 1
S12 0.1295 0.7734 0.2351 1
S13 0.1338 0.0179 0.6499 1
S14 0.1343 0.7824 0.5674 1

=====

(2)
# Nd2ZnGa | the Alexandria database | GGA-PBEsol | optimized geometry
# DFT formation energy, meV per atom: -448
# DOS at the Fermi energy, states/eV per cell: 17.11
# Total magnetic moment, μB/f.u.: 0.0
# Calculated total energy, eV/atom: -4.262
data_Nd2ZnGa
_cell_length_a 7.252
_cell_length_b 7.252
_cell_length_c 7.252
_cell_angle_alpha 90.00
_cell_angle_beta 90.00
_cell_angle_gamma 90.00
_symmetry_space_group_name_H-M 'F m -3 m'
_symmetry_Int_Tables_number 225
_symmetry_space_group_name_Hall '-F 4 2 3'
loop_
_atom_site_label
_atom_site_fract_x
_atom_site_fract_y
_atom_site_fract_z
_atom_site_occupancy
Nd1 0.250 0.250 0.250 1
Zn1 0.000 0.000 0.000 1
Ga1 0.000 0.000 0.500 1

=====

(3)
# NdZn2Ga2 | the Alexandria database | GGA-PBEsol | optimized geometry
# DFT formation energy, meV per atom: -500
# DOS at the Fermi energy, states/eV per cell: 2.88
# Total magnetic moment, μB/f.u.: 0.0
# Calculated total energy, eV/atom: -3.502
data_NdZn2Ga2
_cell_length_a 4.163
_cell_length_b 4.163
_cell_length_c 10.542
_cell_angle_alpha 90.00
_cell_angle_beta 90.00
_cell_angle_gamma 90.00
_symmetry_space_group_name_H-M 'I 4/m m m'
_symmetry_Int_Tables_number 139
_symmetry_space_group_name_Hall '-I 4 2'
loop_
_atom_site_label
_atom_site_fract_x
_atom_site_fract_y
_atom_site_fract_z
_atom_site_occupancy
Nd1 0.000 0.000 0.000 1
Zn1 0.000 0.000 0.387 1
Ga1 0.000 0.500 0.250 1

=====

(4)
# Ga9Ni13 | the Alexandria database | GGA-PBEsol | optimized geometry
# DFT formation energy, meV per atom: -435
# DOS at the Fermi energy, states/eV per cell: 20.54
# Total magnetic moment, μB/f.u.: 0.0
# Calculated total energy, eV/atom: -5.440
data_Ga9Ni13
_cell_length_a 9.815
_cell_length_b 7.787
_cell_length_c 8.370
_cell_angle_alpha 90.00
_cell_angle_beta 125.50
_cell_angle_gamma 90.00
_symmetry_space_group_name_H-M 'C 1 2/m 1'
_symmetry_Int_Tables_number 12
loop_
_symmetry_equiv_pos_as_xyz
'x,y,z'
'-x,-y,-z'
'-x,y,-z'
'x,-y,z'
'x+1/2,y+1/2,z'
'-x+1/2,-y+1/2,-z'
'-x+1/2,y+1/2,-z'
'x+1/2,-y+1/2,z'
loop_
_atom_site_label
_atom_site_fract_x
_atom_site_fract_y
_atom_site_fract_z
_atom_site_occupancy
Ga1 0.000 0.000 0.000 1
Ga2 0.039 0.290 0.809 1
Ga3 0.170 0.500 0.613 1
Ga4 0.209 0.000 0.667 1
Ni1 0.000 0.239 0.500 1
Ni2 0.000 0.500 0.000 1
Ni3 0.051 0.000 0.321 1
Ni4 0.196 0.238 0.161 1
Ni5 0.241 0.000 0.986 1
Ni6 0.250 0.250 0.500 1

=====

(5)
# Ga3Ni5 | the Alexandria database | GGA-PBEsol | optimized geometry
# DFT formation energy, meV per atom: -419
# DOS at the Fermi energy, states/eV per cell: 6.96
# Total magnetic moment, μB/f.u.: 0.0
# Calculated total energy, eV/atom: -5.520
data_Ga3Ni5
_cell_length_a 6.660
_cell_length_b 7.427
_cell_length_c 3.688
_cell_angle_alpha 90.00
_cell_angle_beta 90.00
_cell_angle_gamma 90.00
_symmetry_space_group_name_H-M 'C m m m'
_symmetry_Int_Tables_number 65
_symmetry_space_group_name_Hall '-C 2 2'
loop_
_atom_site_label
_atom_site_fract_x
_atom_site_fract_y
_atom_site_fract_z
_atom_site_occupancy
Ga1 0.000 0.000 0.000 1
Ga2 0.000 0.281 0.500 1
Ni1 0.000 0.500 0.000 1
Ni2 0.225 0.000 0.500 1
Ni3 0.250 0.250 0.000 1

=====

(6)
# Ga7Ni3 | the Alexandria database | GGA-PBEsol | optimized geometry
# DFT formation energy, meV per atom: -372
# DOS at the Fermi energy, states/eV per cell: 4.99
# Total magnetic moment, μB/f.u.: 0.0
# Calculated total energy, eV/atom: -4.557
data_Ga7Ni3
_cell_length_a 8.335
_cell_length_b 8.335
_cell_length_c 8.335
_cell_angle_alpha 90.00
_cell_angle_beta 90.00
_cell_angle_gamma 90.00
_symmetry_space_group_name_H-M 'I m -3 m'
_symmetry_Int_Tables_number 229
_symmetry_space_group_name_Hall '-I 4 2 3'
loop_
_atom_site_label
_atom_site_fract_x
_atom_site_fract_y
_atom_site_fract_z
_atom_site_occupancy
Ga1 0.000 0.250 0.500 1
Ga2 0.161 0.161 0.161 1
Ni1 0.000 0.000 0.350 1

=====

(7)
# GaNiP2O | the Alexandria database | GGA-PBEsol | optimized geometry
# Energy relative to the elements, uncorrected, eV/f.u.: 0.72
# DOS at the Fermi energy, states/eV per cell: 3.28
# Total magnetic moment, μB/f.u.: 0.6
# Calculated total energy, eV/atom: -5.122
data_GaNiP2O
_cell_length_a 4.607
_cell_length_b 4.607
_cell_length_c 3.407
_cell_angle_alpha 90.00
_cell_angle_beta 90.00
_cell_angle_gamma 90.00
_symmetry_space_group_name_H-M 'P 4/m m m'
_symmetry_Int_Tables_number 123
_symmetry_space_group_name_Hall '-P 4 2'
loop_
_atom_site_label
_atom_site_fract_x
_atom_site_fract_y
_atom_site_fract_z
_atom_site_occupancy
Ga1 0.000 0.000 0.000 1
Ni1 0.500 0.500 0.500 1
P1 0.000 0.500 0.500 1
O1 0.500 0.500 0.000 1

=====

(8)
# SrGaNi2O | the Alexandria database | GGA-PBEsol | optimized geometry
# Energy relative to the elements, uncorrected, eV/f.u.: -0.42
# DOS at the Fermi energy, states/eV per cell: 2.17
# Total magnetic moment, μB/f.u.: 0.0
# Calculated total energy, eV/atom: -4.632
data_SrGaNi2O
_cell_length_a 4.089
_cell_length_b 4.089
_cell_length_c 4.561
_cell_angle_alpha 90.00
_cell_angle_beta 90.00
_cell_angle_gamma 90.00
_symmetry_space_group_name_H-M 'P 4/m m m'
_symmetry_Int_Tables_number 123
_symmetry_space_group_name_Hall '-P 4 2'
loop_
_atom_site_label
_atom_site_fract_x
_atom_site_fract_y
_atom_site_fract_z
_atom_site_occupancy
Sr1 0.000 0.000 0.000 1
Ga1 0.500 0.500 0.000 1
Ni1 0.000 0.500 0.500 1
O1 0.500 0.500 0.500 1

=====

Look up the calculated total energy of the first one.
-6.051 eV/atom